DFT (GGA-PBE) results for an optimized crystal structure of Ce2MgHg6.

Cell lengths 4.705, 7.345, 7.574 Å; angles 119.01, 90.02, 90.00 degrees
Site moments in Bohr magnetons follow the coordinates.
Fractional coordinates of all 9 atoms:
Hg 0.500 0.264 0.000  0.00
Hg 0.000 0.838 0.280  0.01
Hg 0.000 0.558 0.720  0.01
Hg 0.500 0.736 0.000  0.00
Hg 0.000 0.162 0.720  0.01
Hg 0.000 0.442 0.280  0.01
Ce 0.500 0.782 0.564  1.01
Ce 0.500 0.218 0.436  1.01
Mg 0.000 0.000 0.000  0.00

Summary:
- D(E_F) (states/eV/cell) = 16.9
- volume (Å³ per atom) = 25.43
- raw total energy (eV per atom) = -1.9301
- formation enthalpy at 0 K (eV/atom) = -0.23